Record 1
RbBi4Au2, optimized geometry, DFT GGA-PBE; ΔH_f (0 K) = -14.8 kJ per mole of atoms; magnetic moment = 0.00 Bohr magnetons per cell; E_tot = -3.445 eV per atom
1.0
9.568 0.000 0.000
0.000 9.568 0.000
0.000 0.000 4.723
Rb Bi Au
2 8 4
Direct
0.000 0.000 0.000 Rb
0.500 0.500 0.500 Rb
0.085 0.323 0.500 Bi
0.177 0.585 0.000 Bi
0.323 0.085 0.500 Bi
0.415 0.823 0.000 Bi
0.585 0.177 0.000 Bi
0.677 0.915 0.500 Bi
0.823 0.415 0.000 Bi
0.915 0.677 0.500 Bi
0.220 0.780 0.500 Au
0.280 0.280 0.000 Au
0.720 0.720 0.000 Au
0.780 0.220 0.500 Au

=====

Record 2
RbBi12Au7, optimized geometry, DFT GGA-PBE; ΔH_f (0 K) = -2.7 kJ per mole of atoms; magnetic moment = 0.00 Bohr magnetons per cell; E_tot = -3.552 eV per atom
1.0
8.042 4.643 2.611
-8.042 4.643 2.611
0.000 -9.287 2.611
Rb Bi Au
1 12 7
Direct
0.000 0.000 0.000 Rb
0.035 0.199 0.710 Bi
0.139 0.491 0.424 Bi
0.199 0.710 0.035 Bi
0.290 0.965 0.801 Bi
0.424 0.139 0.491 Bi
0.491 0.424 0.139 Bi
0.509 0.576 0.861 Bi
0.576 0.861 0.509 Bi
0.710 0.035 0.199 Bi
0.801 0.290 0.965 Bi
0.861 0.509 0.576 Bi
0.965 0.801 0.290 Bi
0.134 0.202 0.452 Au
0.202 0.452 0.134 Au
0.452 0.134 0.202 Au
0.500 0.500 0.500 Au
0.548 0.866 0.798 Au
0.798 0.548 0.866 Au
0.866 0.798 0.548 Au

=====

Record 3
RbBiAu2, optimized geometry, DFT GGA-PBE; ΔH_f (0 K) = -19.9 kJ per mole of atoms; magnetic moment = 0.00 Bohr magnetons per cell; E_tot = -3.057 eV per atom
1.0
2.521 1.455 6.183
-2.521 1.455 6.183
0.000 -2.911 6.183
Rb Bi Au
1 1 2
Direct
0.000 0.000 0.000 Rb
0.500 0.500 0.500 Bi
0.191 0.191 0.191 Au
0.809 0.809 0.809 Au

=====

Record 4
Rb3Bi4Au, optimized geometry, DFT GGA-PBE; ΔH_f (0 K) = -18.7 kJ per mole of atoms; magnetic moment = 0.00 Bohr magnetons per cell; E_tot = -2.907 eV per atom
1.0
6.964 0.000 0.000
0.000 13.550 0.000
0.000 0.000 7.244
Rb Bi Au
6 8 2
Direct
0.250 0.004 0.180 Rb
0.250 0.496 0.180 Rb
0.250 0.750 0.508 Rb
0.750 0.250 0.492 Rb
0.750 0.504 0.820 Rb
0.750 0.996 0.820 Rb
0.023 0.750 0.994 Bi
0.250 0.137 0.670 Bi
0.250 0.363 0.670 Bi
0.477 0.750 0.994 Bi
0.523 0.250 0.006 Bi
0.750 0.637 0.330 Bi
0.750 0.863 0.330 Bi
0.977 0.250 0.006 Bi
0.250 0.250 0.320 Au
0.750 0.750 0.680 Au

=====

Record 5
Rb2Bi3Au5, optimized geometry, DFT GGA-PBE; ΔH_f (0 K) = -17.2 kJ per mole of atoms; magnetic moment = 0.00 Bohr magnetons per cell; E_tot = -3.175 eV per atom
1.0
-5.769 6.953 3.648
5.769 -6.953 3.648
5.769 6.953 -3.648
Rb Bi Au
4 6 10
Direct
0.128 0.234 0.362 Rb
0.372 0.734 0.106 Rb
0.628 0.266 0.894 Rb
0.872 0.766 0.638 Rb
0.135 0.891 0.026 Bi
0.250 0.750 0.500 Bi
0.365 0.391 0.756 Bi
0.635 0.609 0.244 Bi
0.750 0.250 0.500 Bi
0.865 0.109 0.974 Bi
0.024 0.750 0.274 Au
0.115 0.646 0.761 Au
0.250 0.250 0.000 Au
0.385 0.146 0.531 Au
0.476 0.750 0.726 Au
0.524 0.250 0.274 Au
0.615 0.854 0.469 Au
0.750 0.750 0.000 Au
0.885 0.354 0.239 Au
0.976 0.250 0.726 Au

=====

Record 6
RbBi2Au4, optimized geometry, DFT GGA-PBE; ΔH_f (0 K) = -4.8 kJ per mole of atoms; magnetic moment = 0.00 Bohr magnetons per cell; E_tot = -3.170 eV per atom; E above lowest polymorph = 82 meV per atom
1.0
9.656 0.000 0.000
0.000 9.656 0.000
0.000 0.000 4.049
Rb Bi Au
2 4 8
Direct
0.000 0.000 0.000 Rb
0.500 0.500 0.500 Rb
0.235 0.235 0.500 Bi
0.265 0.735 0.000 Bi
0.735 0.265 0.000 Bi
0.765 0.765 0.500 Bi
0.060 0.647 0.500 Au
0.147 0.440 0.000 Au
0.353 0.940 0.500 Au
0.440 0.147 0.000 Au
0.560 0.853 0.000 Au
0.647 0.060 0.500 Au
0.853 0.560 0.000 Au
0.940 0.353 0.500 Au

=====

Record 7
Rb4BiAu, optimized geometry, DFT GGA-PBE; ΔH_f (0 K) = -29.0 kJ per mole of atoms; magnetic moment = 0.00 Bohr magnetons per cell; E_tot = -2.139 eV per atom
1.0
5.570 -8.224 0.000
5.570 8.224 0.000
-3.882 0.000 6.759
Rb Bi Au
8 2 2
Direct
0.051 0.702 0.924 Rb
0.249 0.362 0.727 Rb
0.298 0.949 0.576 Rb
0.362 0.249 0.227 Rb
0.638 0.751 0.773 Rb
0.702 0.051 0.424 Rb
0.751 0.638 0.273 Rb
0.949 0.298 0.076 Rb
0.360 0.640 0.250 Bi
0.640 0.360 0.750 Bi
0.008 0.992 0.750 Au
0.992 0.008 0.250 Au

=====

Record 8
RbBiAu3, optimized geometry, DFT GGA-PBE; ΔH_f (0 K) = 114.5 kJ per mole of atoms; magnetic moment = 0.00 Bohr magnetons per cell; E_tot = -1.749 eV per atom; E above lowest polymorph = 1301 meV per atom
1.0
5.636 0.000 0.000
0.000 5.636 0.000
0.000 0.000 5.636
Rb Bi Au
1 1 3
Direct
0.000 0.000 0.000 Rb
0.500 0.500 0.500 Bi
0.000 0.000 0.500 Au
0.000 0.500 0.000 Au
0.500 0.000 0.000 Au

=====

Record 9
RbBiAu2, optimized geometry, DFT GGA-PBE; ΔH_f (0 K) = -15.8 kJ per mole of atoms; magnetic moment = 0.00 Bohr magnetons per cell; E_tot = -3.014 eV per atom
1.0
-2.844 2.844 9.561
2.844 -2.844 9.561
2.844 2.844 -9.561
Rb Bi Au
2 2 4
Direct
0.375 0.625 0.750 Rb
0.625 0.375 0.250 Rb
0.125 0.875 0.250 Bi
0.875 0.125 0.750 Bi
0.000 0.000 0.000 Au
0.000 0.000 0.500 Au
0.000 0.500 0.000 Au
0.500 0.000 0.500 Au

=====

Record 10
RbBi12Au4, optimized geometry, DFT GGA-PBE; ΔH_f (0 K) = -7.5 kJ per mole of atoms; magnetic moment = 0.00 Bohr magnetons per cell; E_tot = -3.645 eV per atom
1.0
-5.156 5.156 5.156
5.156 -5.156 5.156
5.156 5.156 -5.156
Rb Bi Au
1 12 4
Direct
0.000 0.000 0.000 Rb
0.157 0.347 0.504 Bi
0.157 0.653 0.810 Bi
0.190 0.843 0.347 Bi
0.347 0.190 0.843 Bi
0.347 0.504 0.157 Bi
0.496 0.843 0.653 Bi
0.504 0.157 0.347 Bi
0.653 0.496 0.843 Bi
0.653 0.810 0.157 Bi
0.810 0.157 0.653 Bi
0.843 0.347 0.190 Bi
0.843 0.653 0.496 Bi
0.000 0.000 0.500 Au
0.000 0.500 0.000 Au
0.500 0.000 0.000 Au
0.500 0.500 0.500 Au

=====

Record 11
Rb6BiAu3, optimized geometry, DFT GGA-PBE; ΔH_f (0 K) = -25.0 kJ per mole of atoms; magnetic moment = 0.00 Bohr magnetons per cell; E_tot = -2.211 eV per atom
1.0
11.135 0.000 0.000
0.000 5.949 0.000
-3.652 0.000 13.122
Rb Bi Au
12 2 6
Direct
0.002 0.250 0.408 Rb
0.079 0.750 0.134 Rb
0.301 0.250 0.277 Rb
0.304 0.250 0.971 Rb
0.354 0.750 0.807 Rb
0.397 0.250 0.592 Rb
0.603 0.750 0.408 Rb
0.646 0.250 0.193 Rb
0.696 0.750 0.029 Rb
0.699 0.750 0.723 Rb
0.921 0.250 0.866 Rb
0.998 0.750 0.592 Rb
0.413 0.750 0.148 Bi
0.587 0.250 0.852 Bi
0.059 0.750 0.858 Au
0.136 0.250 0.697 Au
0.262 0.750 0.456 Au
0.738 0.250 0.544 Au
0.864 0.750 0.303 Au
0.941 0.250 0.142 Au

=====

Record 12
Rb12BiAu6, optimized geometry, DFT GGA-PBE; ΔH_f (0 K) = -22.8 kJ per mole of atoms; magnetic moment = 0.04 Bohr magnetons per cell; E_tot = -2.087 eV per atom
1.0
-6.067 6.067 6.067
6.067 -6.067 6.067
6.067 6.067 -6.067
Rb Bi Au
12 1 6
Direct
0.125 0.825 0.300 Rb
0.175 0.300 0.475 Rb
0.175 0.700 0.875 Rb
0.300 0.125 0.825 Rb
0.300 0.475 0.175 Rb
0.475 0.175 0.300 Rb
0.525 0.825 0.700 Rb
0.700 0.525 0.825 Rb
0.700 0.875 0.175 Rb
0.825 0.300 0.125 Rb
0.825 0.700 0.525 Rb
0.875 0.175 0.700 Rb
0.000 0.000 0.000 Bi
0.120 0.620 0.500 Au
0.380 0.500 0.880 Au
0.500 0.120 0.620 Au
0.500 0.880 0.380 Au
0.620 0.500 0.120 Au
0.880 0.380 0.500 Au